Density functional theory data (PBE) for crystalline MoH3Pb at its relaxed geometry.

The value obtained for the theoretical density is 6.5 g/cm3. As for the volume: 77.9 Å³/cell. The total energy comes out at -17.63 eV/f.u.

It has space group Pm-3m (No. 221), with a = 4.2717 Å, b = 4.2717 Å, c = 4.2717 Å, α = 90.00°, β = 90.00° and γ = 90.00°. The distinct sites, in fractional coordinates, are Mo at (0.0000, 0.0000, 0.0000), H at (0.0000, 0.5000, 0.5000) and Pb at (0.5000, 0.5000, 0.5000).